1.
# Dy2CdSi

An optimized crystal structure of Dy2CdSi (PBE, the Alexandria database).

Summary:
Density of states at the Fermi level ... 0.804 states/eV/atom
Uncorrected energy ... -4.239 eV per atom
E_form (uncorrected) ... -0.354 eV/atom

Unit cell a=4.3309 b=4.3309 c=20.2488 alpha=90.00 beta=90.00 gamma=120.00
Last column: nearest neighbours and their distance in Å.
Space group R-3m (No. 166, hexagonal axes)
Asymmetric unit:
1 Dy 0.0000 0.0000 0.2347 x6  3 Si 2.86
2 Cd 0.0000 0.0000 0.0000 x3  6 Dy 3.20
3 Si 0.0000 0.0000 0.5000 x3  6 Dy 2.86



2.
# DyCdSi

An optimized crystal structure of DyCdSi (PBE, the Alexandria database).

Summary:
Density of states at the Fermi level ... 0.392 states/eV/atom
Uncorrected energy ... -4.012 eV per atom
E_form (uncorrected) ... -0.365 eV/atom

Unit cell a=4.3634 b=4.3634 c=4.0555 alpha=90.00 beta=90.00 gamma=120.00
Last column: nearest neighbours and their distance in Å.
Space group P3m1 (No. 156)
Asymmetric unit:
1 Dy 0.0000 0.0000 0.0000 x1  6 Si 3.12-3.35, 6 Cd 3.19-3.28
2 Cd 0.3333 0.6667 0.4825 x1  3 Si 2.53
3 Si 0.6667 0.3333 0.5442 x1  3 Cd 2.53



3.
# Dy2CdSi

An optimized crystal structure of Dy2CdSi (PBE, the Alexandria database).

Summary:
Density of states at the Fermi level ... 0.870 states/eV/atom
Uncorrected energy ... -4.300 eV per atom
E_form (uncorrected) ... -0.414 eV/atom

Unit cell a=3.6918 b=3.6918 c=6.9966 alpha=90.00 beta=90.00 gamma=90.00
Last column: nearest neighbours and their distance in Å.
Space group P4/mmm (No. 123)
Asymmetric unit:
1 Dy 0.0000 0.0000 0.2270 x2  4 Si 3.06, 1 Dy 3.18, 4 Cd 3.23
2 Cd 0.5000 0.5000 0.5000 x1  8 Dy 3.23, 2 Si 3.50
3 Si 0.5000 0.5000 0.0000 x1  8 Dy 3.06



4.
# Dy6CdSi2

An optimized crystal structure of Dy6CdSi2 (PBE, the Alexandria database).

Summary:
Density of states at the Fermi level ... 0.785 states/eV/atom
Uncorrected energy ... -4.852 eV per atom
E_form (uncorrected) ... -0.477 eV/atom

Unit cell a=9.5996 b=9.6030 c=10.2538 alpha=90.00 beta=90.00 gamma=90.00
Last column: nearest neighbours and their distance in Å.
Space group Immm (No. 71)
Asymmetric unit:
1 Dy 0.0000 0.2028 0.1779 x8  3 Si 2.87-2.99
2 Dy 0.1811 0.2261 0.5000 x8  3 Si 3.03-3.13, 1 Cd 3.15
3 Dy 0.2014 0.5000 0.2540 x8  2 Si 2.94-3.19, 2 Cd 3.18-3.24
4 Cd 0.0000 0.5000 0.0000 x2  8 Dy 3.24-3.39
5 Cd 0.0000 0.5000 0.5000 x2  8 Dy 3.15-3.18, 2 Si 3.44
6 Si 0.0000 0.0000 0.3833 x4  1 Si 2.39
7 Si 0.1413 0.0000 0.0000 x4  1 Si 2.71, 6 Dy 2.94-2.99